Computed, not measured: a relaxed Tm2Ga2Fe2C crystal at the GGA-PBE level of DFT.

Its total energy is -6.333 eV/atom. The calculation puts the energy of formation at -0.46 eV/atom. As for the density of states at the Fermi level: 0.661 states/eV/atom. The crystal system is monoclinic. The theoretical density comes out at 8.871 g/cm³. For the size of the total moment, the calculation gives 0.000 μB/cell.

The space group is C2/m (No. 12) and the conventional cell measures 10.697, 3.888 and 6.899 Å, with angles of 90.00, 128.35 and 90.00 degrees. Symmetry generates all atoms from Tm at (0.057, 0.000, 0.283), Ga at (0.156, 0.500, 0.701), Fe at (0.194, 0.500, 0.086) and C at (0.000, 0.500, 0.000).